# CeNbAs (GGA-PBE, relaxed)
# Crystal system: tetragonal
# Energy relative to the elements: -0.762 eV/atom
data_CeNbAs
_symmetry_space_group_name_H-M 'P 4/n m m'
_symmetry_Int_Tables_number 129
_cell_length_a 4.056
_cell_length_b 4.056
_cell_length_c 7.973
_cell_angle_alpha 90.00
_cell_angle_beta 90.00
_cell_angle_gamma 90.00
loop_
_symmetry_equiv_pos_as_xyz
'x,y,z'
'-x,-y,-z'
'-y+1/2,x,z'
'y+1/2,-x,-z'
'-x+1/2,-y+1/2,z'
'x+1/2,y+1/2,-z'
'y,-x+1/2,z'
'-y,x+1/2,-z'
'x+1/2,-y,-z'
'-x+1/2,y,z'
'-y,-x,-z'
'y,x,z'
'-x,y+1/2,-z'
'x,-y+1/2,z'
'y+1/2,x+1/2,-z'
'-y+1/2,-x+1/2,z'
loop_
_atom_site_label
_atom_site_fract_x
_atom_site_fract_y
_atom_site_fract_z
Ce1 0.250 0.250 0.142
Nb1 0.250 0.750 0.500
As1 0.250 0.250 0.736

# Cs2RbHg16 (GGA-PBE, relaxed)
# Crystal system: trigonal
# Energy relative to the elements: -0.162 eV/atom
data_Cs2RbHg16
_symmetry_space_group_name_H-M 'R 3 m'
_symmetry_Int_Tables_number 160
_symmetry_space_group_name_Hall 'R 3 -2"'
_cell_length_a 11.2573
_cell_length_b 11.2573
_cell_length_c 17.1816
_cell_angle_alpha 90.00
_cell_angle_beta 90.00
_cell_angle_gamma 120.00
loop_
_atom_site_label
_atom_site_fract_x
_atom_site_fract_y
_atom_site_fract_z
Cs1 0.0000 0.0000 0.0000
Cs2 0.0000 0.0000 0.3076
Rb1 0.0000 0.0000 0.7349
Hg1 0.0000 0.0000 0.5278
Hg2 0.0004 0.5002 0.5080
Hg3 0.0050 0.5025 0.1698
Hg4 0.0173 0.5086 0.8132
Hg5 0.0265 0.3535 0.3295

# Rb2TbPuO4 (GGA-PBE, relaxed)
# Crystal system: monoclinic
# ΔE_f (raw): -2487 meV/atom
data_Rb2TbPuO4
_symmetry_space_group_name_H-M 'P 1 2/m 1'
_symmetry_Int_Tables_number 10
_cell_length_a 6.195
_cell_length_b 3.572
_cell_length_c 6.883
_cell_angle_alpha 90.00
_cell_angle_beta 107.47
_cell_angle_gamma 90.00
loop_
_symmetry_equiv_pos_as_xyz
'x,y,z'
'-x,-y,-z'
'-x,y,-z'
'x,-y,z'
loop_
_atom_site_label
_atom_site_fract_x
_atom_site_fract_y
_atom_site_fract_z
Rb1 0.000 0.000 0.000
Rb2 0.500 0.500 0.000
Tb1 0.000 0.500 0.500
Pu1 0.500 0.000 0.500
O1 0.221 0.000 0.677
O2 0.273 0.500 0.325

# BePRu2 (GGA-PBE, relaxed)
# Crystal system: monoclinic
# Energy above the most stable polymorph in this dataset: 0.143 eV/atom
# Energy relative to the elements: -0.324 eV/atom
data_BePRu2
_symmetry_space_group_name_H-M 'C 1 m 1'
_symmetry_Int_Tables_number 8
_cell_length_a 8.333
_cell_length_b 2.859
_cell_length_c 4.188
_cell_angle_alpha 90.00
_cell_angle_beta 105.64
_cell_angle_gamma 90.00
loop_
_symmetry_equiv_pos_as_xyz
'x,y,z'
'x,-y,z'
'x+1/2,y+1/2,z'
'x+1/2,-y+1/2,z'
loop_
_atom_site_label
_atom_site_fract_x
_atom_site_fract_y
_atom_site_fract_z
Be1 0.000 0.000 0.000
P1 0.253 0.000 0.683
Ru1 0.005 0.500 0.524
Ru2 0.245 0.500 0.130

# PmTh3C (GGA-PBE, relaxed)
# Crystal system: cubic
# Energy relative to the elements: -0.101 eV/atom
data_PmTh3C
_symmetry_space_group_name_H-M 'P m -3 m'
_symmetry_Int_Tables_number 221
_symmetry_space_group_name_Hall '-P 4 2 3'
_cell_length_a 5.180
_cell_length_b 5.180
_cell_length_c 5.180
_cell_angle_alpha 90.00
_cell_angle_beta 90.00
_cell_angle_gamma 90.00
loop_
_atom_site_label
_atom_site_fract_x
_atom_site_fract_y
_atom_site_fract_z
Pm1 0.000 0.000 0.000
Th1 0.000 0.500 0.500
C1 0.500 0.500 0.500

# Nb2MoRu8 (GGA-PBE, relaxed)
# Crystal system: monoclinic
# Energy relative to the elements: 0.081 eV/atom
data_Nb2MoRu8
_symmetry_space_group_name_H-M 'C 1 2/m 1'
_symmetry_Int_Tables_number 12
_cell_length_a 8.580
_cell_length_b 5.411
_cell_length_c 8.061
_cell_angle_alpha 90.00
_cell_angle_beta 115.52
_cell_angle_gamma 90.00
loop_
_symmetry_equiv_pos_as_xyz
'x,y,z'
'-x,-y,-z'
'-x,y,-z'
'x,-y,z'
'x+1/2,y+1/2,z'
'-x+1/2,-y+1/2,-z'
'-x+1/2,y+1/2,-z'
'x+1/2,-y+1/2,z'
loop_
_atom_site_label
_atom_site_fract_x
_atom_site_fract_y
_atom_site_fract_z
Nb1 0.189 0.000 0.140
Mo1 0.000 0.500 0.500
Ru1 0.027 0.244 0.772
Ru2 0.165 0.500 0.094
Ru3 0.179 0.000 0.550